Entry 1:
{"formula": "AcDyTm2", "functional": "PBE", "state": "optimized geometry", "dft_energy_ev_per_atom": -4.342, "spacegroup": "P4/mmm", "e_form_mev_per_atom": 72, "mass_density_g_cm3": 8.94, "cell": [[5.060, 0.000, 0.000], [0.000, 5.167, 0.000], [0.000, 0.000, 5.167]], "species": ["Ac", "Tm", "Tm", "Dy"], "fractional_positions": [[0.500, 0.000, 0.000], [0.000, 0.500, 0.000], [0.000, 0.000, 0.500], [0.500, 0.500, 0.500]]}

Entry 2:
{"formula": "AcDy2Tm4", "functional": "PBE", "state": "optimized geometry", "dft_energy_ev_per_atom": -4.424, "spacegroup": "P1", "e_form_mev_per_atom": 33, "mass_density_g_cm3": 8.93, "cell": [[8.263, 1.459, 1.338], [0.746, 9.565, -0.684], [-3.733, -6.199, 5.729]], "species": ["Tm", "Tm", "Tm", "Tm", "Tm", "Tm", "Tm", "Tm", "Dy", "Dy", "Dy", "Dy", "Ac", "Ac"], "fractional_positions": [[0.487, 0.577, 0.044], [0.967, 0.953, 0.026], [0.536, 0.823, 0.601], [0.688, 0.531, 0.743], [0.359, 0.860, 0.910], [0.113, 0.676, 0.161], [0.402, 0.099, 0.454], [0.212, 0.151, 0.757], [0.819, 0.248, 0.877], [0.776, 0.006, 0.331], [0.642, 0.284, 0.184], [0.067, 0.431, 0.624], [0.918, 0.728, 0.482], [0.261, 0.382, 0.305]]}

no.,polymorph energy (0 for the lowest one) (kJ/mol of atoms)
1,0.00
2,0.00